No. 1
The following is a DFT calculation (PBE) of ZnCo2Br after structural relaxation.

E = -3.952 eV per atom
DOS(E_F) = 4.66 states/eV/f.u.
Energy relative to the lowest polymorph listed for this composition = 68 meV/atom
Density = 6.57 g/cm3
Total magnetic moment = 3.33 μB per formula unit

Lattice parameters (Å, degrees): 2.997 2.997 7.404 90.00 90.00 90.00
Sites, in units of the cell vectors:
Zn1 0.000 0.000 0.000
Co1 0.000 0.000 0.634
Co2 0.500 0.500 0.817
Br1 0.500 0.500 0.413

=====

No. 2
The following is a DFT calculation (PBE) of In2HgRh2 after structural relaxation.

E = -4.348 eV per atom
DOS(E_F) = 3.07 states/eV/f.u.
Energy relative to the lowest polymorph listed for this composition = 0 meV/atom
Density = 11.27 g/cm3
Total magnetic moment = 0.00 μB per formula unit

Lattice parameters (Å, degrees): 7.586 7.586 3.257 90.00 90.00 90.00
Sites, in units of the cell vectors:
In1 0.151 0.349 0.000
In2 0.349 0.849 0.000
In3 0.651 0.151 0.000
In4 0.849 0.651 0.000
Hg1 0.000 0.000 0.500
Hg2 0.500 0.500 0.500
Rh1 0.146 0.646 0.500
Rh2 0.354 0.146 0.500
Rh3 0.646 0.854 0.500
Rh4 0.854 0.354 0.500

=====

No. 3
The following is a DFT calculation (PBE) of Rb2CaHf after structural relaxation.

E = -2.334 eV per atom
DOS(E_F) = 8.76 states/eV/f.u.
Energy relative to the lowest polymorph listed for this composition = 0 meV/atom
Density = 3.50 g/cm3
Total magnetic moment = 2.82 μB per formula unit

Lattice parameters (Å, degrees): 5.066 5.066 28.828 90.00 90.00 90.00
Sites, in units of the cell vectors:
Rb1 0.244 0.250 0.125
Rb2 0.250 0.744 0.375
Rb3 0.250 0.756 0.875
Rb4 0.256 0.250 0.625
Rb5 0.744 0.750 0.625
Rb6 0.750 0.244 0.875
Rb7 0.750 0.256 0.375
Rb8 0.756 0.750 0.125
Ca1 0.000 0.000 0.500
Ca2 0.000 0.500 0.750
Ca3 0.500 0.000 0.250
Ca4 0.500 0.500 0.000
Hf1 0.000 0.000 0.000
Hf2 0.000 0.500 0.250
Hf3 0.500 0.000 0.750
Hf4 0.500 0.500 0.500

=====

No. 4
The following is a DFT calculation (PBE) of PuSeS after structural relaxation.

E = -8.671 eV per atom
DOS(E_F) = 8.72 states/eV/f.u.
Energy relative to the lowest polymorph listed for this composition = 0 meV/atom
Density = 9.06 g/cm3
Total magnetic moment = 5.19 μB per formula unit

Lattice parameters (Å, degrees): 3.965 3.965 16.559 90.00 90.00 90.00
Sites, in units of the cell vectors:
Pu1 0.000 0.000 0.150
Pu2 0.000 0.000 0.850
Pu3 0.500 0.500 0.350
Pu4 0.500 0.500 0.650
Se1 0.000 0.500 0.000
Se2 0.000 0.500 0.500
Se3 0.500 0.000 0.000
Se4 0.500 0.000 0.500
S1 0.000 0.000 0.318
S2 0.000 0.000 0.682
S3 0.500 0.500 0.182
S4 0.500 0.500 0.818

=====

No. 5
The following is a DFT calculation (PBE) of PmNdLuIn after structural relaxation.

E = -4.358 eV per atom
DOS(E_F) = 7.15 states/eV/f.u.
Density = 8.07 g/cm3
Total magnetic moment = 0.02 μB per formula unit

Lattice parameters (Å, degrees): 7.810 7.810 7.810 90.00 90.00 90.00
Sites, in units of the cell vectors:
Pm1 0.000 0.000 0.000
Pm2 0.000 0.500 0.500
Pm3 0.500 0.000 0.500
Pm4 0.500 0.500 0.000
Nd1 0.000 0.000 0.500
Nd2 0.000 0.500 0.000
Nd3 0.500 0.000 0.000
Nd4 0.500 0.500 0.500
Lu1 0.250 0.250 0.250
Lu2 0.250 0.750 0.750
Lu3 0.750 0.250 0.750
Lu4 0.750 0.750 0.250
In1 0.250 0.250 0.750
In2 0.250 0.750 0.250
In3 0.750 0.250 0.250
In4 0.750 0.750 0.750

=====

No. 6
The following is a DFT calculation (PBE) of Ba2HfSc after structural relaxation.

E = -4.272 eV per atom
DOS(E_F) = 5.39 states/eV/f.u.
Energy relative to the lowest polymorph listed for this composition = 0 meV/atom
Density = 5.87 g/cm3
Total magnetic moment = 0.00 μB per formula unit

Lattice parameters (Å, degrees): 8.262 8.262 8.262 90.00 90.00 90.00
Sites, in units of the cell vectors:
Ba1 0.250 0.250 0.250
Ba2 0.250 0.250 0.750
Ba3 0.250 0.750 0.250
Ba4 0.250 0.750 0.750
Ba5 0.750 0.250 0.250
Ba6 0.750 0.250 0.750
Ba7 0.750 0.750 0.250
Ba8 0.750 0.750 0.750
Hf1 0.000 0.000 0.000
Hf2 0.000 0.500 0.500
Hf3 0.500 0.000 0.500
Hf4 0.500 0.500 0.000
Sc1 0.000 0.000 0.500
Sc2 0.000 0.500 0.000
Sc3 0.500 0.000 0.000
Sc4 0.500 0.500 0.500

=====

No. 7
The following is a DFT calculation (PBE) of Ba2CdBr after structural relaxation.

E = -2.365 eV per atom
DOS(E_F) = 4.57 states/eV/f.u.
Energy relative to the lowest polymorph listed for this composition = 146 meV/atom
Density = 4.12 g/cm3
Total magnetic moment = 0.00 μB per formula unit

Lattice parameters (Å, degrees): 8.895 8.895 9.522 90.00 90.00 90.00
Sites, in units of the cell vectors:
Ba1 0.237 0.250 0.125
Ba2 0.250 0.737 0.375
Ba3 0.250 0.763 0.875
Ba4 0.263 0.250 0.625
Ba5 0.737 0.750 0.625
Ba6 0.750 0.237 0.875
Ba7 0.750 0.263 0.375
Ba8 0.763 0.750 0.125
Cd1 0.000 0.000 0.500
Cd2 0.000 0.500 0.750
Cd3 0.500 0.000 0.250
Cd4 0.500 0.500 0.000
Br1 0.000 0.000 0.000
Br2 0.000 0.500 0.250
Br3 0.500 0.000 0.750
Br4 0.500 0.500 0.500

=====

No. 8
The following is a DFT calculation (PBE) of Tb5InRu3 after structural relaxation.

E = -6.114 eV per atom
DOS(E_F) = 4.46 states/eV/f.u.
Density = 8.07 g/cm3
Total magnetic moment = 0.00 μB per formula unit

Lattice parameters (Å, degrees): 7.551 7.551 9.865 107.31 107.31 72.70
Sites, in units of the cell vectors:
Tb1 0.045 0.045 0.354
Tb2 0.133 0.520 0.349
Tb3 0.204 0.796 0.000
Tb4 0.265 0.265 0.954
Tb5 0.480 0.867 0.651
Tb6 0.520 0.133 0.349
Tb7 0.735 0.735 0.046
Tb8 0.796 0.204 0.000
Tb9 0.867 0.480 0.651
Tb10 0.955 0.955 0.646
In1 0.419 0.419 0.710
In2 0.581 0.581 0.290
Ru1 0.163 0.163 0.165
Ru2 0.181 0.181 0.647
Ru3 0.500 0.500 0.000
Ru4 0.500 0.500 0.500
Ru5 0.819 0.819 0.353
Ru6 0.837 0.837 0.835

=====

No. 9
The following is a DFT calculation (PBE) of Er5Hg2Ir after structural relaxation.

E = -4.579 eV per atom
DOS(E_F) = 6.48 states/eV/f.u.
Energy relative to the lowest polymorph listed for this composition = 0 meV/atom
Density = 11.59 g/cm3
Total magnetic moment = 0.00 μB per formula unit

Lattice parameters (Å, degrees): 6.992 12.056 4.858 90.00 90.00 90.00
Sites, in units of the cell vectors:
Er1 0.000 0.000 0.000
Er2 0.141 0.291 0.000
Er3 0.174 0.586 0.500
Er4 0.326 0.086 0.500
Er5 0.359 0.791 0.000
Er6 0.500 0.500 0.000
Er7 0.641 0.209 0.000
Er8 0.674 0.914 0.500
Er9 0.826 0.414 0.500
Er10 0.859 0.709 0.000
Hg1 0.084 0.839 0.500
Hg2 0.416 0.339 0.500
Hg3 0.584 0.661 0.500
Hg4 0.916 0.161 0.500
Ir1 0.000 0.500 0.000
Ir2 0.500 0.000 0.000

=====

No. 10
The following is a DFT calculation (PBE) of Mg2MoRu after structural relaxation.

E = -5.760 eV per atom
DOS(E_F) = 0.51 states/eV/f.u.
Energy relative to the lowest polymorph listed for this composition = 78 meV/atom
Density = 6.43 g/cm3
Total magnetic moment = 0.00 μB per formula unit

Lattice parameters (Å, degrees): 6.332 6.332 6.332 90.00 90.00 90.00
Sites, in units of the cell vectors:
Mg1 0.000 0.000 0.000
Mg2 0.000 0.500 0.500
Mg3 0.250 0.250 0.250
Mg4 0.250 0.750 0.750
Mg5 0.500 0.000 0.500
Mg6 0.500 0.500 0.000
Mg7 0.750 0.250 0.750
Mg8 0.750 0.750 0.250
Mo1 0.250 0.250 0.750
Mo2 0.250 0.750 0.250
Mo3 0.750 0.250 0.250
Mo4 0.750 0.750 0.750
Ru1 0.000 0.000 0.500
Ru2 0.000 0.500 0.000
Ru3 0.500 0.000 0.000
Ru4 0.500 0.500 0.500

=====

No. 11
The following is a DFT calculation (PBE) of Li2PrAs2Pd2 after structural relaxation.

E = -4.939 eV per atom
DOS(E_F) = 2.20 states/eV/f.u.
Density = 6.79 g/cm3
Total magnetic moment = 0.00 μB per formula unit

Lattice parameters (Å, degrees): 8.234 8.234 8.234 30.37 30.37 30.37
Sites, in units of the cell vectors:
Li1 0.141 0.141 0.141
Li2 0.859 0.859 0.859
Pr1 0.000 0.000 0.000
As1 0.252 0.252 0.252
As2 0.748 0.748 0.748
Pd1 0.429 0.429 0.429
Pd2 0.571 0.571 0.571

=====

No. 12
The following is a DFT calculation (PBE) of TbGdCoPd after structural relaxation.

E = -8.206 eV per atom
DOS(E_F) = 2.68 states/eV/f.u.
Density = 9.69 g/cm3
Total magnetic moment = 6.86 μB per formula unit

Lattice parameters (Å, degrees): 6.910 6.910 6.910 90.00 90.00 90.00
Sites, in units of the cell vectors:
Tb1 0.000 0.000 0.000
Tb2 0.000 0.500 0.500
Tb3 0.500 0.000 0.500
Tb4 0.500 0.500 0.000
Gd1 0.000 0.000 0.500
Gd2 0.000 0.500 0.000
Gd3 0.500 0.000 0.000
Gd4 0.500 0.500 0.500
Co1 0.250 0.250 0.750
Co2 0.250 0.750 0.250
Co3 0.750 0.250 0.250
Co4 0.750 0.750 0.750
Pd1 0.250 0.250 0.250
Pd2 0.250 0.750 0.750
Pd3 0.750 0.250 0.750
Pd4 0.750 0.750 0.250